1.
Here is crystalline CrSiIr2 at its relaxed geometry from Alexandria via LeMat-Bulk. Energies are from PBE.

a = 2.7653 Å, b = 4.3108 Å, c = 4.5709 Å
α = 90.00°, β = 90.00°, γ = 90.00°
Fractional positions:
Cr (0.0000, 0.0000, 0.0000)
Si (0.5000, 0.0000, 0.5000)
Ir (0.0000, 0.5000, 0.5000)
Ir (0.5000, 0.5000, 0.0000)

Summary:
- total moment (Bohr magnetons per cell) = 0.00
- calculated total energy (eV/cell) = -32.93
- DOS(E_F) (states/eV/atom) = 0.658

2.
Here is crystalline CrSiIr2 at its relaxed geometry from Alexandria via LeMat-Bulk. Energies are from PBE.

a = 2.7699 Å, b = 2.7699 Å, c = 24.3204 Å
α = 90.00°, β = 90.00°, γ = 120.00°
Fractional positions:
Cr (0.0000, 0.0000, 0.0000)
Cr (0.3333, 0.6667, 0.6667)
Cr (0.6667, 0.3333, 0.3333)
Si (0.0000, 0.0000, 0.5000)
Si (0.3333, 0.6667, 0.1667)
Si (0.6667, 0.3333, 0.8333)
Ir (0.0000, 0.0000, 0.2472)
Ir (0.0000, 0.0000, 0.7528)
Ir (0.3333, 0.6667, 0.4194)
Ir (0.3333, 0.6667, 0.9139)
Ir (0.6667, 0.3333, 0.0861)
Ir (0.6667, 0.3333, 0.5806)

Summary:
- total moment (Bohr magnetons per cell) = 0.00
- calculated total energy (eV/cell) = -100.67
- DOS(E_F) (states/eV/atom) = 0.521

3.
Here is crystalline CrSiIr2 at its relaxed geometry from Alexandria via LeMat-Bulk. Energies are from PBE.

a = 8.5155 Å, b = 2.7829 Å, c = 4.7335 Å
α = 90.00°, β = 102.28°, γ = 90.00°
Fractional positions:
Cr (0.0000, 0.0000, 0.0000)
Cr (0.5000, 0.5000, 0.0000)
Si (0.0000, 0.5000, 0.5000)
Si (0.5000, 0.0000, 0.5000)
Ir (0.2442, 0.0000, 0.7497)
Ir (0.2558, 0.5000, 0.2503)
Ir (0.7442, 0.5000, 0.7497)
Ir (0.7558, 0.0000, 0.2503)

Summary:
- total moment (Bohr magnetons per cell) = 4.50
- calculated total energy (eV/cell) = -67.45
- DOS(E_F) (states/eV/atom) = 0.715

4.
Here is crystalline Cr2SiIr at its relaxed geometry from Alexandria via LeMat-Bulk. Energies are from PBE.

a = 2.7671 Å, b = 2.7671 Å, c = 23.3276 Å
α = 90.00°, β = 90.00°, γ = 120.00°
Fractional positions:
Cr (0.0000, 0.0000, 0.0000)
Cr (0.0000, 0.0000, 0.2586)
Cr (0.3333, 0.6667, 0.6667)
Cr (0.3333, 0.6667, 0.9252)
Cr (0.6667, 0.3333, 0.3333)
Cr (0.6667, 0.3333, 0.5919)
Si (0.0000, 0.0000, 0.5089)
Si (0.3333, 0.6667, 0.1756)
Si (0.6667, 0.3333, 0.8423)
Ir (0.0000, 0.0000, 0.7570)
Ir (0.3333, 0.6667, 0.4237)
Ir (0.6667, 0.3333, 0.0903)

Summary:
- total moment (Bohr magnetons per cell) = 0.00
- calculated total energy (eV/cell) = -100.55
- DOS(E_F) (states/eV/atom) = 1.356

5.
Here is crystalline CrSiIr2 at its relaxed geometry from Alexandria via LeMat-Bulk. Energies are from PBE.

a = 9.0123 Å, b = 2.8334 Å, c = 4.4318 Å
α = 90.00°, β = 106.23°, γ = 90.00°
Fractional positions:
Cr (0.0000, 0.0000, 0.0000)
Cr (0.5000, 0.5000, 0.0000)
Si (0.2373, 0.5000, 0.3476)
Si (0.7373, 0.0000, 0.3476)
Ir (0.2520, 0.0000, 0.8536)
Ir (0.4726, 0.0000, 0.4814)
Ir (0.7520, 0.5000, 0.8536)
Ir (0.9726, 0.5000, 0.4814)

Summary:
- total moment (Bohr magnetons per cell) = 4.54
- calculated total energy (eV/cell) = -67.88
- DOS(E_F) (states/eV/atom) = 0.717

6.
Here is crystalline CrSiIr2 at its relaxed geometry from Alexandria via LeMat-Bulk. Energies are from PBE.

a = 2.7466 Å, b = 2.7466 Å, c = 24.7273 Å
α = 90.00°, β = 90.00°, γ = 120.00°
Fractional positions:
Cr (0.0000, 0.0000, 0.0000)
Cr (0.3333, 0.6667, 0.6667)
Cr (0.6667, 0.3333, 0.3333)
Si (0.0000, 0.0000, 0.7459)
Si (0.3333, 0.6667, 0.4125)
Si (0.6667, 0.3333, 0.0792)
Ir (0.0000, 0.0000, 0.2533)
Ir (0.0000, 0.0000, 0.4895)
Ir (0.3333, 0.6667, 0.1561)
Ir (0.3333, 0.6667, 0.9200)
Ir (0.6667, 0.3333, 0.5866)
Ir (0.6667, 0.3333, 0.8228)

Summary:
- total moment (Bohr magnetons per cell) = 0.77
- calculated total energy (eV/cell) = -100.66
- DOS(E_F) (states/eV/atom) = 0.720

7.
Here is crystalline U2CrSi4Ir3 at its relaxed geometry from Alexandria via LeMat-Bulk. Energies are from PBE.

a = 4.0925 Å, b = 4.0925 Å, c = 9.9474 Å
α = 90.00°, β = 90.00°, γ = 90.00°
Fractional positions:
U (0.0000, 0.5000, 0.2483)
U (0.5000, 0.0000, 0.7517)
Cr (0.0000, 0.0000, 0.5000)
Si (0.0000, 0.0000, 0.0000)
Si (0.0000, 0.5000, 0.6328)
Si (0.5000, 0.0000, 0.3672)
Si (0.5000, 0.5000, 0.0000)
Ir (0.0000, 0.5000, 0.8716)
Ir (0.5000, 0.0000, 0.1284)
Ir (0.5000, 0.5000, 0.5000)

Summary:
- total moment (Bohr magnetons per cell) = 5.35
- calculated total energy (eV/cell) = -86.98
- DOS(E_F) (states/eV/atom) = 1.479

8.
Here is crystalline VCrSiIr at its relaxed geometry from Alexandria via LeMat-Bulk. Energies are from PBE.

a = 5.8830 Å, b = 5.8830 Å, c = 5.8830 Å
α = 90.00°, β = 90.00°, γ = 90.00°
Fractional positions:
V (0.0000, 0.0000, 0.0000)
V (0.0000, 0.5000, 0.5000)
V (0.5000, 0.0000, 0.5000)
V (0.5000, 0.5000, 0.0000)
Cr (0.2500, 0.2500, 0.2500)
Cr (0.2500, 0.7500, 0.7500)
Cr (0.7500, 0.2500, 0.7500)
Cr (0.7500, 0.7500, 0.2500)
Si (0.0000, 0.0000, 0.5000)
Si (0.0000, 0.5000, 0.0000)
Si (0.5000, 0.0000, 0.0000)
Si (0.5000, 0.5000, 0.5000)
Ir (0.2500, 0.2500, 0.7500)
Ir (0.2500, 0.7500, 0.2500)
Ir (0.7500, 0.2500, 0.2500)
Ir (0.7500, 0.7500, 0.7500)

Summary:
- total moment (Bohr magnetons per cell) = 0.00
- calculated total energy (eV/cell) = -139.34
- DOS(E_F) (states/eV/atom) = 0.653

Which value of total moment does entry 8 give?
0.00 Bohr magnetons per cell